No. 1
DFT (GGA-PBE) results for crystalline Nd2Y2Er4Tm at its relaxed geometry.

a b c (Å): 3.589 9.482 9.538
angles (deg): 115.23 90.00 100.91
Fractional positions:
Er: 0.185 0.370 0.336
Er: 0.519 0.039 0.334
Er: 0.815 0.630 0.664
Tm: 0.000 0.000 0.000
Nd: 0.665 0.330 0.001
Er: 0.481 0.961 0.666
Nd: 0.335 0.670 0.999
Y: 0.147 0.293 0.662
Y: 0.853 0.707 0.338

Calculated values
- Space-group type: C2/m (12)
- Formation energy: 0 kJ/mol of atoms
- Crystal system: monoclinic

No. 2
DFT (GGA-PBE) results for crystalline Nd6Y2ErTm at its relaxed geometry.

a b c (Å): 9.572 8.980 8.980
angles (deg): 117.40 93.43 93.43
Fractional positions:
Y: 0.047 0.298 0.202
Tm: 0.750 0.588 0.412
Nd: 0.310 0.993 0.436
Y: 0.953 0.702 0.798
Nd: 0.810 0.436 0.993
Y: 0.453 0.798 0.702
Nd: 0.884 0.292 0.515
Nd: 0.384 0.515 0.292
Nd: 0.116 0.708 0.485
Nd: 0.690 0.007 0.564
Nd: 0.190 0.564 0.007
Tm: 0.250 0.412 0.588
Nd: 0.556 0.765 0.118
Y: 0.547 0.202 0.298
Nd: 0.616 0.485 0.708
Er: 0.250 0.970 0.030
Nd: 0.944 0.882 0.235
Nd: 0.444 0.235 0.882
Er: 0.750 0.030 0.970
Nd: 0.056 0.118 0.765

Calculated values
- Space-group type: C2/c (15)
- Formation energy: 11 kJ/mol of atoms
- Crystal system: monoclinic

No. 3
DFT (GGA-PBE) results for crystalline Nd2Y3Er6Tm at its relaxed geometry.

a b c (Å): 6.148 6.148 11.758
angles (deg): 94.98 94.98 119.96
Fractional positions:
Er: 0.752 0.752 0.251
Tm: 0.000 0.000 0.000
Er: 0.584 0.916 0.749
Er: 0.416 0.084 0.251
Nd: 0.333 0.667 0.000
Er: 0.084 0.416 0.251
Y: 0.166 0.834 0.500
Er: 0.916 0.584 0.749
Nd: 0.667 0.333 0.000
Y: 0.834 0.166 0.500
Er: 0.248 0.248 0.749
Y: 0.500 0.500 0.500

Calculated values
- Space-group type: C2/m (12)
- Formation energy: 2 kJ/mol of atoms
- Crystal system: monoclinic

No. 4
DFT (GGA-PBE) results for crystalline Nd2YEr2Tm2 at its relaxed geometry.

a b c (Å): 3.397 8.844 8.580
angles (deg): 85.74 90.00 101.07
Fractional positions:
Er: 0.943 0.886 0.864
Nd: 0.371 0.741 0.216
Y: 0.000 0.000 0.500
Nd: 0.629 0.259 0.784
Tm: 0.817 0.634 0.578
Tm: 0.183 0.366 0.422
Er: 0.057 0.114 0.136

Calculated values
- Space-group type: C2/m (12)
- Formation energy: 36 kJ/mol of atoms
- Crystal system: monoclinic

No. 5
DFT (GGA-PBE) results for crystalline Nd2Y2ErTm at its relaxed geometry.

a b c (Å): 5.657 7.063 9.774
angles (deg): 90.00 90.00 90.00
Fractional positions:
Nd: 0.000 0.258 0.817
Y: 0.500 0.008 0.000
Nd: 0.000 0.758 0.183
Er: 0.500 0.258 0.679
Y: 0.500 0.508 0.000
Tm: 0.000 0.507 0.500
Tm: 0.000 0.007 0.500
Er: 0.500 0.758 0.321
Y: 0.000 0.258 0.156
Nd: 0.500 0.758 0.649
Nd: 0.500 0.258 0.351
Y: 0.000 0.758 0.844

Calculated values
- Space-group type: Pmma (51)
- Formation energy: 6 kJ/mol of atoms
- Crystal system: orthorhombic

No. 6
DFT (GGA-PBE) results for crystalline Nd3Y2Er6Tm at its relaxed geometry.

a b c (Å): 6.173 6.173 11.764
angles (deg): 95.01 95.01 119.96
Fractional positions:
Y: 0.667 0.333 0.000
Er: 0.918 0.586 0.753
Er: 0.586 0.918 0.753
Er: 0.251 0.251 0.753
Er: 0.749 0.749 0.247
Tm: 0.000 0.000 0.000
Er: 0.082 0.414 0.247
Nd: 0.833 0.167 0.500
Nd: 0.167 0.833 0.500
Y: 0.333 0.667 0.000
Er: 0.414 0.082 0.247
Nd: 0.500 0.500 0.500

Calculated values
- Space-group type: C2/m (12)
- Formation energy: 2 kJ/mol of atoms
- Crystal system: monoclinic

No. 7
DFT (GGA-PBE) results for crystalline NdY5Er2Tm at its relaxed geometry.

a b c (Å): 5.613 10.455 10.502
angles (deg): 90.00 90.00 105.57
Fractional positions:
Nd: 0.804 0.607 0.514
Tm: 0.412 0.824 0.452
Y: 0.302 0.603 0.704
Y: 0.722 0.444 0.814
Y: 0.389 0.779 0.025
Y: 0.479 0.958 0.738
Y: 0.016 0.032 0.023
Tm: 0.588 0.176 0.952
Y: 0.698 0.397 0.204
Y: 0.521 0.042 0.238
Er: 0.888 0.776 0.818
Er: 0.112 0.224 0.318
Er: 0.110 0.220 0.737
Er: 0.890 0.780 0.237
Y: 0.611 0.221 0.525
Y: 0.984 0.968 0.523
Y: 0.278 0.556 0.314
Nd: 0.196 0.393 0.014

Calculated values
- Space-group type: Cmc2_1 (36)
- Formation energy: 15 kJ/mol of atoms
- Crystal system: orthorhombic

No. 8
DFT (GGA-PBE) results for crystalline NdY2Er5Tm at its relaxed geometry.

a b c (Å): 5.590 10.204 10.542
angles (deg): 90.00 90.00 105.90
Fractional positions:
Er: 0.298 0.597 0.709
Tm: 0.201 0.402 0.012
Nd: 0.417 0.833 0.455
Er: 0.282 0.564 0.312
Y: 0.887 0.774 0.819
Y: 0.889 0.778 0.234
Er: 0.019 0.039 0.025
Er: 0.479 0.959 0.737
Er: 0.521 0.041 0.237
Tm: 0.799 0.598 0.512
Er: 0.613 0.225 0.521
Er: 0.702 0.403 0.209
Er: 0.981 0.961 0.525
Er: 0.718 0.436 0.812
Y: 0.113 0.226 0.319
Nd: 0.583 0.167 0.955
Er: 0.387 0.775 0.021
Y: 0.111 0.222 0.734

Calculated values
- Space-group type: Cmc2_1 (36)
- Formation energy: 15 kJ/mol of atoms
- Crystal system: orthorhombic

No. 9
DFT (GGA-PBE) results for crystalline Nd4Y2Er2Tm at its relaxed geometry.

a b c (Å): 5.091 8.049 8.039
angles (deg): 107.49 90.00 108.43
Fractional positions:
Nd: 0.554 0.109 0.329
Y: 0.888 0.777 0.329
Nd: 0.446 0.891 0.671
Y: 0.112 0.223 0.671
Tm: 0.000 0.000 0.000
Er: 0.333 0.666 0.000
Nd: 0.778 0.556 0.669
Nd: 0.222 0.444 0.331
Er: 0.667 0.334 0.000

Calculated values
- Space-group type: C2/m (12)
- Formation energy: 2 kJ/mol of atoms
- Crystal system: monoclinic

No. 10
DFT (GGA-PBE) results for crystalline NdYErTm2 at its relaxed geometry.

a b c (Å): 7.193 8.347 7.072
angles (deg): 126.17 90.00 90.00
Fractional positions:
Tm: 0.500 0.688 0.000
Y: 0.750 0.999 0.998
Tm: 0.000 0.312 0.000
Tm: 0.000 0.688 0.000
Er: 0.750 0.719 0.438
Nd: 0.750 0.273 0.546
Y: 0.250 0.001 0.002
Er: 0.250 0.281 0.562
Nd: 0.250 0.727 0.454
Tm: 0.500 0.312 0.000

Calculated values
- Space-group type: Cmcm (63)
- Formation energy: 38 kJ/mol of atoms
- Crystal system: orthorhombic

No. 11
DFT (GGA-PBE) results for crystalline Nd6Y3Er2Tm at its relaxed geometry.

a b c (Å): 6.269 6.269 11.828
angles (deg): 95.06 95.06 119.99
Fractional positions:
Y: 0.500 0.500 0.500
Y: 0.167 0.833 0.500
Tm: 0.000 0.000 0.000
Nd: 0.917 0.584 0.752
Nd: 0.416 0.083 0.248
Nd: 0.083 0.416 0.248
Nd: 0.250 0.250 0.752
Nd: 0.584 0.917 0.752
Y: 0.833 0.167 0.500
Nd: 0.750 0.750 0.248
Er: 0.333 0.667 0.000
Er: 0.667 0.333 0.000

Calculated values
- Space-group type: C2/m (12)
- Formation energy: 1 kJ/mol of atoms
- Crystal system: monoclinic

No. 12
DFT (GGA-PBE) results for crystalline NdYEr2Tm5 at its relaxed geometry.

a b c (Å): 8.761 8.761 9.642
angles (deg): 117.02 117.02 90.00
Fractional positions:
Tm: 0.070 0.570 0.735
Tm: 0.500 0.500 0.000
Nd: 0.250 0.750 0.500
Tm: 0.665 0.165 0.735
Y: 0.750 0.750 0.500
Y: 0.250 0.250 0.500
Tm: 0.165 0.070 0.735
Er: 0.615 0.115 0.000
Nd: 0.750 0.250 0.500
Tm: 0.835 0.930 0.265
Tm: 0.430 0.335 0.265
Er: 0.885 0.615 0.000
Tm: 0.335 0.835 0.265
Tm: 0.930 0.430 0.265
Tm: 0.000 0.000 0.000
Er: 0.115 0.385 0.000
Tm: 0.570 0.665 0.735
Er: 0.385 0.885 0.000

Calculated values
- Space-group type: I4/mcm (140)
- Formation energy: 28 kJ/mol of atoms
- Crystal system: tetragonal

No. 13
DFT (GGA-PBE) results for crystalline NdYEr6Tm2 at its relaxed geometry.

a b c (Å): 9.436 8.728 8.728
angles (deg): 117.71 93.33 93.33
Fractional positions:
Y: 0.750 0.590 0.410
Tm: 0.953 0.694 0.801
Er: 0.819 0.435 0.980
Er: 0.057 0.123 0.752
Nd: 0.750 0.028 0.972
Er: 0.319 0.980 0.435
Er: 0.181 0.565 0.020
Er: 0.681 0.020 0.565
Er: 0.882 0.291 0.510
Er: 0.118 0.709 0.490
Er: 0.443 0.248 0.877
Y: 0.250 0.410 0.590
Er: 0.618 0.490 0.709
Er: 0.382 0.510 0.291
Tm: 0.047 0.306 0.199
Nd: 0.250 0.972 0.028
Tm: 0.547 0.199 0.306
Er: 0.557 0.752 0.123
Tm: 0.453 0.801 0.694
Er: 0.943 0.877 0.248

Calculated values
- Space-group type: C2/c (15)
- Formation energy: 12 kJ/mol of atoms
- Crystal system: monoclinic

No. 14
DFT (GGA-PBE) results for crystalline Nd6YEr2Tm at its relaxed geometry.

a b c (Å): 9.627 8.959 8.959
angles (deg): 117.93 93.70 93.70
Fractional positions:
Nd: 0.118 0.709 0.493
Er: 0.454 0.799 0.698
Nd: 0.382 0.507 0.291
Y: 0.250 0.973 0.027
Er: 0.954 0.698 0.799
Nd: 0.553 0.762 0.119
Nd: 0.618 0.493 0.709
Nd: 0.447 0.238 0.881
Nd: 0.812 0.437 0.991
Nd: 0.312 0.991 0.437
Er: 0.046 0.302 0.201
Tm: 0.750 0.588 0.412
Nd: 0.053 0.119 0.762
Nd: 0.188 0.563 0.009
Tm: 0.250 0.412 0.588
Nd: 0.882 0.291 0.507
Y: 0.750 0.027 0.973
Nd: 0.688 0.009 0.563
Nd: 0.947 0.881 0.238
Er: 0.546 0.201 0.302

Calculated values
- Space-group type: C2/c (15)
- Formation energy: 11 kJ/mol of atoms
- Crystal system: monoclinic

No. 15
DFT (GGA-PBE) results for crystalline NdErTmZn at its relaxed geometry.

a b c (Å): 5.353 5.353 5.353
angles (deg): 60.00 60.00 60.00
Fractional positions:
Nd: 0.000 0.000 0.000
Tm: 0.750 0.750 0.750
Er: 0.500 0.500 0.500
Zn: 0.250 0.250 0.250

Calculated values
- Space-group type: F-43m (216)
- Formation energy: 3 kJ/mol of atoms
- Crystal system: cubic

No. 16
DFT (GGA-PBE) results for crystalline NdErTmZn at its relaxed geometry.

a b c (Å): 3.551 3.551 8.718
angles (deg): 90.00 90.00 90.00
Fractional positions:
Tm: 0.500 0.500 0.371
Er: 0.500 0.500 0.772
Nd: 0.000 0.000 0.072
Zn: 0.000 0.000 0.570

Calculated values
- Space-group type: P4mm (99)
- Formation energy: -16 kJ/mol of atoms
- Crystal system: tetragonal

No. 17
DFT (GGA-PBE) results for crystalline Nd3Er6Tm2Zr at its relaxed geometry.

a b c (Å): 6.097 6.097 11.611
angles (deg): 95.01 95.01 119.95
Fractional positions:
Tm: 0.667 0.333 0.000
Er: 0.753 0.753 0.240
Er: 0.247 0.247 0.760
Nd: 0.166 0.834 0.500
Nd: 0.500 0.500 0.500
Er: 0.406 0.080 0.240
Er: 0.080 0.406 0.240
Er: 0.920 0.594 0.760
Zr: 0.000 0.000 0.000
Nd: 0.834 0.166 0.500
Tm: 0.333 0.667 0.000
Er: 0.594 0.920 0.760

Calculated values
- Space-group type: C2/m (12)
- Formation energy: 4 kJ/mol of atoms
- Crystal system: monoclinic

No. 18
DFT (GGA-PBE) results for crystalline Nd2Er3Tm6Zr at its relaxed geometry.

a b c (Å): 6.052 6.052 11.566
angles (deg): 94.99 94.99 119.92
Fractional positions:
Tm: 0.917 0.590 0.752
Tm: 0.083 0.410 0.248
Nd: 0.667 0.333 0.000
Er: 0.166 0.834 0.500
Tm: 0.410 0.083 0.248
Tm: 0.590 0.917 0.752
Nd: 0.333 0.667 0.000
Er: 0.500 0.500 0.500
Tm: 0.243 0.243 0.752
Tm: 0.757 0.757 0.248
Zr: 0.000 0.000 0.000
Er: 0.834 0.166 0.500

Calculated values
- Space-group type: C2/m (12)
- Formation energy: 5 kJ/mol of atoms
- Crystal system: monoclinic

No. 19
DFT (GGA-PBE) results for crystalline NdErTmZr at its relaxed geometry.

a b c (Å): 5.491 5.491 5.491
angles (deg): 60.00 60.00 60.00
Fractional positions:
Er: 0.000 0.000 0.000
Nd: 0.750 0.750 0.750
Tm: 0.500 0.500 0.500
Zr: 0.250 0.250 0.250

Calculated values
- Space-group type: F-43m (216)
- Formation energy: 20 kJ/mol of atoms
- Crystal system: cubic

No. 20
DFT (GGA-PBE) results for crystalline NdErU at its relaxed geometry.

a b c (Å): 3.636 5.884 8.672
angles (deg): 100.05 102.10 90.00
Fractional positions:
Er: 0.428 0.201 0.856
Er: 0.572 0.799 0.144
Nd: 0.115 0.316 0.229
U: 0.240 0.850 0.481
Nd: 0.885 0.684 0.771
U: 0.760 0.150 0.519

Calculated values
- Space-group type: C2/m (12)
- Formation energy: 24 kJ/mol of atoms
- Crystal system: monoclinic